# DySb

A PBEsol-optimized structure of DySb (meta-GGA SCAN, Alexandria via LeMat-Bulk).

a = 4.3131 Å, b = 4.3131 Å, c = 4.3131 Å
α = 60.00°, β = 60.00°, γ = 60.00°
Last column: nearest neighbours and their distance in Å.
Element x y z (fractional)
1 Dy 0.0000 0.0000 0.0000  6 Sb 3.05
2 Sb 0.5000 0.5000 0.5000  6 Dy 3.05

Output
Formation energy (no corrections) = -1.2274 eV per atom
SG = Fm-3m (225)



# Ta5AuS

A PBEsol-optimized structure of Ta5AuS (meta-GGA SCAN, Alexandria via LeMat-Bulk).

a = 8.8146 Å, b = 8.8146 Å, c = 8.8146 Å
α = 60.00°, β = 60.00°, γ = 60.00°
Last column: nearest neighbours and their distance in Å.
Element x y z (fractional)
1 Ta 0.0282 0.0282 0.4718  2 S 2.46
2 Ta 0.0282 0.4718 0.0282  2 S 2.46
3 Ta 0.0282 0.4718 0.4718  2 S 2.46
4 Ta 0.1486 0.6171 0.6171  3 Au 2.73, 6 Ta 2.82-2.96
5 Ta 0.1970 0.1970 0.8030  2 S 2.45
6 Ta 0.1970 0.8030 0.1970  2 S 2.45
7 Ta 0.1970 0.8030 0.8030  2 S 2.45
8 Ta 0.4718 0.0282 0.0282  2 S 2.46
9 Ta 0.4718 0.0282 0.4718  2 S 2.46
10 Ta 0.4718 0.4718 0.0282  2 S 2.46
11 Ta 0.5040 0.8320 0.8320  12 Ta 2.82-2.98
12 Ta 0.6171 0.1486 0.6171  3 Au 2.73, 6 Ta 2.82-2.96
13 Ta 0.6171 0.6171 0.1486  3 Au 2.73, 6 Ta 2.82-2.96
14 Ta 0.6171 0.6171 0.6171  3 Au 2.73, 6 Ta 2.82-2.96
15 Ta 0.8030 0.1970 0.1970  2 S 2.45
16 Ta 0.8030 0.1970 0.8030  2 S 2.45
17 Ta 0.8030 0.8030 0.1970  2 S 2.45
18 Ta 0.8320 0.5040 0.8320  12 Ta 2.82-2.98
19 Ta 0.8320 0.8320 0.5040  12 Ta 2.82-2.98
20 Ta 0.8320 0.8320 0.8320  12 Ta 2.82-2.98
21 Au 0.3991 0.3991 0.3991  6 Ta 2.73-2.78
22 Au 0.3991 0.3991 0.8027  6 Ta 2.73-2.78
23 Au 0.3991 0.8027 0.3991  6 Ta 2.73-2.78
24 Au 0.8027 0.3991 0.3991  6 Ta 2.73-2.78
25 S 0.1310 0.1310 0.1310  6 Ta 2.45-2.46
26 S 0.1310 0.1310 0.6070  6 Ta 2.45-2.46
27 S 0.1310 0.6070 0.1310  6 Ta 2.45-2.46
28 S 0.6070 0.1310 0.1310  6 Ta 2.45-2.46

Output
Formation energy (no corrections) = -0.3773 eV per atom
SG = F-43m (216)



# CsGeTeF2

A PBEsol-optimized structure of CsGeTeF2 (meta-GGA SCAN, Alexandria via LeMat-Bulk).

a = 4.9738 Å, b = 4.9738 Å, c = 5.0834 Å
α = 90.00°, β = 90.00°, γ = 90.00°
Last column: nearest neighbours and their distance in Å.
Element x y z (fractional)
1 Cs 0.0000 0.0000 0.0000  4 Ge 3.52, 8 F 3.56
2 Ge 0.5000 0.5000 0.0000  2 Te 2.54
3 Te 0.5000 0.5000 0.5000  4 F 2.49, 2 Ge 2.54
4 F 0.0000 0.5000 0.5000  2 Te 2.49
5 F 0.5000 0.0000 0.5000  2 Te 2.49

Output
Formation energy (no corrections) = -0.9467 eV per atom
SG = P4/mmm (123)



# LaMgMo2

A PBEsol-optimized structure of LaMgMo2 (meta-GGA SCAN, Alexandria via LeMat-Bulk).

a = 5.3889 Å, b = 5.3889 Å, c = 5.3889 Å
α = 134.80°, β = 134.80°, γ = 65.84°
Last column: nearest neighbours and their distance in Å.
Element x y z (fractional)
1 La 0.0000 0.0000 0.0000  4 Mg 2.93, 8 Mo 3.07
2 Mg 0.5000 0.5000 0.0000  4 La 2.93, 8 Mo 3.07
3 Mo 0.2500 0.7500 0.5000  4 Mo 2.93, 4 La 3.07, 4 Mg 3.07
4 Mo 0.7500 0.2500 0.5000  4 Mo 2.93, 4 La 3.07, 4 Mg 3.07

Output
SG = I4/mmm (139)
E_form = 0.81 eV/atom



# SrCu3O

A PBEsol-optimized structure of SrCu3O (meta-GGA SCAN, Alexandria via LeMat-Bulk).

a = 4.2682 Å, b = 4.2682 Å, c = 4.2682 Å
α = 90.00°, β = 90.00°, γ = 90.00°
Last column: nearest neighbours and their distance in Å.
Element x y z (fractional)
1 Sr 0.0000 0.0000 0.0000  12 Cu 3.02
2 Cu 0.0000 0.5000 0.5000  2 O 2.13
3 Cu 0.5000 0.0000 0.5000  2 O 2.13
4 Cu 0.5000 0.5000 0.0000  2 O 2.13
5 O 0.5000 0.5000 0.5000  6 Cu 2.13

Output
Formation energy (no corrections) = 0.1224 eV per atom
SG = Pm-3m (221)



# Ca2SbCl

A PBEsol-optimized structure of Ca2SbCl (meta-GGA SCAN, Alexandria via LeMat-Bulk).

a = 4.3685 Å, b = 4.3685 Å, c = 5.9697 Å
α = 90.00°, β = 90.00°, γ = 90.00°
Last column: nearest neighbours and their distance in Å.
Element x y z (fractional)
1 Ca 0.0000 0.0000 0.0000  2 Sb 2.98, 4 Cl 3.09
2 Ca 0.5000 0.5000 0.5000  2 Cl 2.98, 4 Sb 3.09
3 Sb 0.0000 0.0000 0.5000  6 Ca 2.98-3.09
4 Cl 0.5000 0.5000 0.0000  6 Ca 2.98-3.09

Output
Formation energy (no corrections) = -1.6287 eV per atom
SG = P4/mmm (123)



# Zn2ReP

A PBEsol-optimized structure of Zn2ReP (meta-GGA SCAN, Alexandria via LeMat-Bulk).

a = 4.5687 Å, b = 4.5687 Å, c = 3.0030 Å
α = 90.00°, β = 90.00°, γ = 117.23°
Last column: nearest neighbours and their distance in Å.
Element x y z (fractional)
1 Zn 0.0000 0.5000 0.0000  2 Zn 2.38
2 Zn 0.5000 0.0000 0.0000  2 Zn 2.38
3 Re 0.0000 0.0000 0.5000  2 P 2.38
4 P 0.5000 0.5000 0.5000  2 Re 2.38

Output
SG = Cmmm (65)
E_form = 0.27 eV/atom



# Li2ZnNi

A PBEsol-optimized structure of Li2ZnNi (meta-GGA SCAN, Alexandria via LeMat-Bulk).

a = 4.9918 Å, b = 4.9918 Å, c = 2.5680 Å
α = 102.54°, β = 102.54°, γ = 121.09°
Last column: nearest neighbours and their distance in Å.
Element x y z (fractional)
1 Li 0.0000 0.5000 0.0000  6 Li 2.45-2.66, 2 Ni 2.55, 2 Zn 2.55
2 Li 0.5000 0.0000 0.0000  6 Li 2.45-2.66, 2 Ni 2.55, 2 Zn 2.55
3 Zn 0.0000 0.0000 0.5000  4 Ni 2.45-2.66, 4 Li 2.55, 2 Zn 2.57
4 Ni 0.5000 0.5000 0.5000  4 Zn 2.45-2.66, 4 Li 2.55, 2 Ni 2.57

Output
SG = C2/m (12)
E_form = -0.08 eV/atom



# BaRuO5

A PBEsol-optimized structure of BaRuO5 (meta-GGA SCAN, Alexandria via LeMat-Bulk).

a = 10.2515 Å, b = 10.2515 Å, c = 10.2515 Å
α = 55.61°, β = 55.61°, γ = 55.61°
Last column: nearest neighbours and their distance in Å.
Element x y z (fractional)
1 Ba 0.0000 0.0000 0.0000  12 O 2.71-2.91
2 Ba 0.1634 0.1634 0.1634  9 O 2.68-2.83
3 Ba 0.3366 0.3366 0.3366  9 O 2.68-2.83
4 Ba 0.5000 0.5000 0.5000  12 O 2.71-2.91
5 Ba 0.6634 0.6634 0.6634  9 O 2.68-2.83
6 Ba 0.8366 0.8366 0.8366  9 O 2.68-2.83
7 Ru 0.1054 0.7500 0.3946  5 O 1.76-1.80
8 Ru 0.2500 0.6054 0.8946  5 O 1.76-1.80
9 Ru 0.3946 0.1054 0.7500  5 O 1.76-1.80
10 Ru 0.6054 0.8946 0.2500  5 O 1.76-1.80
11 Ru 0.7500 0.3946 0.1054  5 O 1.76-1.80
12 Ru 0.8946 0.2500 0.6054  5 O 1.76-1.80
13 O 0.0025 0.0331 0.7166  1 Ru 1.80
14 O 0.0331 0.7166 0.0025  1 Ru 1.80
15 O 0.0790 0.2500 0.4210  1 Ru 1.76
16 O 0.1363 0.6864 0.2484  1 Ru 1.76
17 O 0.1864 0.6363 0.7484  1 Ru 1.76
18 O 0.2166 0.5331 0.5025  1 Ru 1.80
19 O 0.2484 0.1363 0.6864  1 Ru 1.76
20 O 0.2500 0.4210 0.0790  1 Ru 1.76
21 O 0.2516 0.8136 0.3637  1 Ru 1.76
22 O 0.2834 0.9975 0.9669  1 Ru 1.80
23 O 0.3136 0.7516 0.8637  1 Ru 1.76
24 O 0.3637 0.2516 0.8136  1 Ru 1.76
25 O 0.4210 0.0790 0.2500  1 Ru 1.76
26 O 0.4669 0.4975 0.7834  1 Ru 1.80
27 O 0.4975 0.7834 0.4669  1 Ru 1.80
28 O 0.5025 0.2166 0.5331  1 Ru 1.80
29 O 0.5331 0.5025 0.2166  1 Ru 1.80
30 O 0.5790 0.9210 0.7500  1 Ru 1.76
31 O 0.6363 0.7484 0.1864  1 Ru 1.76
32 O 0.6864 0.2484 0.1363  1 Ru 1.76
33 O 0.7166 0.0025 0.0331  1 Ru 1.80
34 O 0.7484 0.1864 0.6363  1 Ru 1.76
35 O 0.7500 0.5790 0.9210  1 Ru 1.76
36 O 0.7516 0.8637 0.3136  1 Ru 1.76
37 O 0.7834 0.4669 0.4975  1 Ru 1.80
38 O 0.8136 0.3637 0.2516  1 Ru 1.76
39 O 0.8637 0.3136 0.7516  1 Ru 1.76
40 O 0.9210 0.7500 0.5790  1 Ru 1.76
41 O 0.9669 0.2834 0.9975  1 Ru 1.80
42 O 0.9975 0.9669 0.2834  1 Ru 1.80

Output
Formation energy (no corrections) = -1.4324 eV per atom
SG = R-3c (167)



# Hf2FeB2

A PBEsol-optimized structure of Hf2FeB2 (meta-GGA SCAN, Alexandria via LeMat-Bulk).

a = 5.9362 Å, b = 5.9362 Å, c = 3.3743 Å
α = 90.00°, β = 90.00°, γ = 90.00°
Last column: nearest neighbours and their distance in Å.
Element x y z (fractional)
1 Hf 0.1821 0.3179 0.0000  6 B 2.43-2.45
2 Hf 0.3179 0.8179 0.0000  6 B 2.43-2.45
3 Hf 0.6821 0.1821 0.0000  6 B 2.43-2.45
4 Hf 0.8179 0.6821 0.0000  6 B 2.43-2.45
5 Fe 0.0000 0.0000 0.5000  4 B 2.41
6 Fe 0.5000 0.5000 0.5000  4 B 2.41
7 B 0.1091 0.6091 0.5000  1 B 1.83
8 B 0.3909 0.1091 0.5000  1 B 1.83
9 B 0.6091 0.8909 0.5000  1 B 1.83
10 B 0.8909 0.3909 0.5000  1 B 1.83

Output
SG = P4/mbm (127)
E_form = -0.69 eV/atom



# BeF2

A PBEsol-optimized structure of BeF2 (meta-GGA SCAN, Alexandria via LeMat-Bulk).

a = 8.9337 Å, b = 8.9337 Å, c = 8.9337 Å
α = 94.47°, β = 94.47°, γ = 94.47°
Last column: nearest neighbours and their distance in Å.
Element x y z (fractional)
1 Be 0.1058 0.3343 0.8761  4 F 1.54-1.56
2 Be 0.1058 0.8761 0.3343  4 F 1.54-1.56
3 Be 0.1239 0.6657 0.8942  4 F 1.54-1.56
4 Be 0.1239 0.8942 0.6657  4 F 1.54-1.56
5 Be 0.3343 0.1058 0.8761  4 F 1.54-1.56
6 Be 0.3343 0.8761 0.1058  4 F 1.54-1.56
7 Be 0.6657 0.1239 0.8942  4 F 1.54-1.56
8 Be 0.6657 0.8942 0.1239  4 F 1.54-1.56
9 Be 0.8761 0.1058 0.3343  4 F 1.54-1.56
10 Be 0.8761 0.3343 0.1058  4 F 1.54-1.56
11 Be 0.8942 0.1239 0.6657  4 F 1.54-1.56
12 Be 0.8942 0.6657 0.1239  4 F 1.54-1.56
13 F 0.0000 0.2608 0.7392  2 Be 1.56
14 F 0.0000 0.7392 0.2608  2 Be 1.56
15 F 0.0224 0.0224 0.3257  2 Be 1.56
16 F 0.0224 0.3257 0.0224  2 Be 1.56
17 F 0.1065 0.7501 0.7501  2 Be 1.55
18 F 0.1505 0.5000 0.8495  2 Be 1.54
19 F 0.1505 0.8495 0.5000  2 Be 1.54
20 F 0.2499 0.2499 0.8935  2 Be 1.55
21 F 0.2499 0.8935 0.2499  2 Be 1.55
22 F 0.2608 0.0000 0.7392  2 Be 1.56
23 F 0.2608 0.7392 0.0000  2 Be 1.56
24 F 0.3257 0.0224 0.0224  2 Be 1.56
25 F 0.5000 0.1505 0.8495  2 Be 1.54
26 F 0.5000 0.8495 0.1505  2 Be 1.54
27 F 0.6743 0.9776 0.9776  2 Be 1.56
28 F 0.7392 0.0000 0.2608  2 Be 1.56
29 F 0.7392 0.2608 0.0000  2 Be 1.56
30 F 0.7501 0.1065 0.7501  2 Be 1.55
31 F 0.7501 0.7501 0.1065  2 Be 1.55
32 F 0.8495 0.1505 0.5000  2 Be 1.54
33 F 0.8495 0.5000 0.1505  2 Be 1.54
34 F 0.8935 0.2499 0.2499  2 Be 1.55
35 F 0.9776 0.6743 0.9776  2 Be 1.56
36 F 0.9776 0.9776 0.6743  2 Be 1.56

Output
Formation energy (no corrections) = -3.4433 eV per atom
Energy relative to the lowest polymorph listed for this composition = 19.3 meV/atom
SG = R-3m (166)



# SiPt3

A PBEsol-optimized structure of SiPt3 (meta-GGA SCAN, Alexandria via LeMat-Bulk).

a = 5.4164 Å, b = 5.4164 Å, c = 3.9369 Å
α = 90.00°, β = 90.00°, γ = 90.00°
Last column: nearest neighbours and their distance in Å.
Element x y z (fractional)
1 Si 0.0000 0.5000 0.0000  8 Pt 2.42-2.71
2 Si 0.5000 0.0000 0.0000  8 Pt 2.42-2.71
3 Pt 0.0000 0.0000 0.0000  4 Si 2.71, 8 Pt 2.79
4 Pt 0.1847 0.3153 0.5000  2 Si 2.42
5 Pt 0.3153 0.8153 0.5000  2 Si 2.42
6 Pt 0.5000 0.5000 0.0000  4 Si 2.71, 8 Pt 2.79
7 Pt 0.6847 0.1847 0.5000  2 Si 2.42
8 Pt 0.8153 0.6847 0.5000  2 Si 2.42

Output
Formation energy (no corrections) = -0.5070 eV per atom
SG = P4/mbm (127)



V (Å³/atom)
28.37; 17.30; 25.15; 19.40; 15.55; 28.48; 13.93; 12.29; 16.29; 11.89; 19.62; 14.44